! SrLa2MgO GGA-PBE optimized geometry; values from VASP
&SYSTEM
  ibrav = 0, nat = 5, ntyp = 4
/
ATOMIC_SPECIES
La 138.91 La.upf
O 16.00 O.upf
Mg 24.30 Mg.upf
Sr 87.62 Sr.upf
ATOMIC_POSITIONS crystal
La 0.500 0.000 0.000
La 0.000 0.500 0.000
O 0.000 0.000 0.000
Mg 0.500 0.500 0.500
Sr 0.000 0.000 0.500
CELL_PARAMETERS angstrom
5.102 0.000 0.000
0.000 5.102 0.000
0.000 0.000 5.361
! spin magnetization = 0.00 μB per formula unit
! calculated total energy = -4.723 eV per atom
! space group = P4/mmm



! SnSbN3 GGA-PBE optimized geometry; values from VASP
&SYSTEM
  ibrav = 0, nat = 5, ntyp = 3
/
ATOMIC_SPECIES
N 14.01 N.upf
Sn 118.71 Sn.upf
Sb 121.76 Sb.upf
ATOMIC_POSITIONS crystal
N 0.500 0.000 0.000
N 0.000 0.500 0.000
N 0.000 0.000 0.500
Sn 0.000 0.000 0.000
Sb 0.500 0.500 0.500
CELL_PARAMETERS angstrom
4.128 0.000 0.000
0.000 4.128 0.000
0.000 0.000 4.128
! spin magnetization = 0.00 μB per formula unit
! calculated total energy = -5.141 eV per atom
! space group = Pm-3m



! SrY4Fe GGA-PBE optimized geometry; values from VASP
&SYSTEM
  ibrav = 0, nat = 6, ntyp = 3
/
ATOMIC_SPECIES
Y 88.91 Y.upf
Fe 55.84 Fe.upf
Sr 87.62 Sr.upf
ATOMIC_POSITIONS crystal
Y 0.871 0.376 0.376
Y 0.376 0.376 0.376
Y 0.376 0.871 0.376
Y 0.376 0.376 0.871
Fe 0.750 0.750 0.750
Sr 0.000 0.000 0.000
CELL_PARAMETERS angstrom
0.000 4.645 4.645
4.645 0.000 4.645
4.645 4.645 0.000
! spin magnetization = 3.45 μB per formula unit
! energy of formation from the pure elements = 68.2 kJ/mol of atoms
! space group = F-43m



! Pr4SmAg GGA-PBE optimized geometry; values from VASP
&SYSTEM
  ibrav = 0, nat = 6, ntyp = 3
/
ATOMIC_SPECIES
Sm 150.36 Sm.upf
Pr 140.91 Pr.upf
Ag 107.87 Ag.upf
ATOMIC_POSITIONS crystal
Sm 0.000 0.000 0.000
Pr 0.500 0.500 0.179
Pr 0.500 0.500 0.821
Pr 0.000 0.000 0.363
Pr 0.000 0.000 0.637
Ag 0.500 0.500 0.500
CELL_PARAMETERS angstrom
3.724 0.000 0.000
0.000 3.724 0.000
0.000 0.000 14.273
! spin magnetization = 0.00 μB per formula unit
! energy of formation from the pure elements = -6.1 kJ/mol of atoms
! space group = P4/mmm
! polymorph energy (0 for the lowest one) = 0.0 meV/atom